1.
{"formula": "Ta2NiBi2Se6", "functional": "PBE", "state": "relaxed", "lattice": [[6.3319, -0.1362, -0.2483], [-3.2480, 5.4371, -0.2483], [-1.5034, -2.5842, 8.3418]], "species": ["Se", "Se", "Se", "Bi", "Ta", "Se", "Se", "Ni", "Bi", "Ta", "Se"], "fractional_positions": [[0.8192, 0.8192, 0.7067], [0.1808, 0.1808, 0.2933], [0.5623, 0.9088, 0.3195], [0.8014, 0.1986, 0.0000], [0.6374, 0.3626, 0.5000], [0.4377, 0.0912, 0.6805], [0.0912, 0.4377, 0.6805], [0.0000, 0.0000, 0.5000], [0.1986, 0.8014, 0.0000], [0.3626, 0.6374, 0.5000], [0.9088, 0.5623, 0.3195]], "raw_formation_energy_mev_per_atom": -359, "dos_at_fermi_per_ev_atom": 0.633}

---

2.
{"formula": "Dy5Y6Ho", "functional": "PBE", "state": "relaxed", "lattice": [[-7.2984, 0.8112, 9.2123], [-5.1837, -2.1361, -2.5531], [-1.2793, -6.0171, 0.1991]], "species": ["Dy", "Dy", "Dy", "Y", "Y", "Ho", "Y", "Y", "Y", "Dy", "Y", "Dy"], "fractional_positions": [[0.0000, 0.3333, 0.3334], [0.5000, 0.1666, 0.6668], [0.5000, 0.8334, 0.3332], [0.2499, 0.9168, 0.6667], [0.2499, 0.5835, 0.3333], [0.0000, 0.0000, 0.0000], [0.2499, 0.2500, 0.0000], [0.7501, 0.0832, 0.3333], [0.7501, 0.7500, 0.0000], [0.0000, 0.6667, 0.6666], [0.7501, 0.4165, 0.6667], [0.5000, 0.5000, 0.0000]], "delta_e_f_ev_per_atom": 0.021, "dos_at_fermi_per_ev_atom": 1.440}

---

3.
{"formula": "YIn2GaCl6", "functional": "PBE", "state": "relaxed", "lattice": [[-1.5862, -0.3588, -7.5263], [-3.5799, -6.1739, -2.8933], [-7.4224, 0.6263, -2.4049]], "species": ["Cl", "Cl", "In", "Cl", "Y", "Cl", "Cl", "Cl", "In", "Ga"], "fractional_positions": [[0.1155, 0.4553, 0.7763], [0.5706, 0.1751, 0.2532], [0.5332, 0.5333, 0.4004], [0.4554, 0.6528, 0.7763], [0.3207, 0.3206, 0.0381], [0.1749, 0.0012, 0.2534], [0.6530, 0.1150, 0.7766], [0.0011, 0.5708, 0.2531], [0.0258, 0.0258, 0.9227], [0.8116, 0.8117, 0.5652]], "raw_formation_energy_mev_per_atom": -1389, "dos_at_fermi_per_ev_atom": 0.000}

---

4.
{"formula": "BeZn2I", "functional": "PBE", "state": "relaxed", "lattice": [[2.8950, -2.2728, 3.3838], [-1.0641, 0.3948, 4.8691], [-1.7284, -3.9632, 2.5105]], "species": ["I", "Zn", "Be", "Zn"], "fractional_positions": [[0.5000, 0.5000, 0.5000], [0.7500, 0.7500, 0.7500], [0.0000, 0.0000, 0.0000], [0.2500, 0.2500, 0.2500]], "e_above_lowest_polymorph_ev_per_atom": 0.823, "raw_formation_energy_mev_per_atom": 871, "dos_at_fermi_per_ev_atom": 0.486}

---

5.
{"formula": "DyErTmZr", "functional": "PBE", "state": "relaxed", "lattice": [[-3.3834, -3.4821, 2.4957], [-1.8002, -4.4243, -2.6431], [1.7686, -4.9559, 1.4536]], "species": ["Tm", "Er", "Zr", "Dy"], "fractional_positions": [[0.0000, 0.0000, 0.0000], [0.5000, 0.5000, 0.5000], [0.2500, 0.2500, 0.2500], [0.7500, 0.7500, 0.7500]], "delta_e_f_ev_per_atom": 0.204, "e_above_lowest_polymorph_ev_per_atom": 0.126, "dos_at_fermi_per_ev_atom": 1.651}

---

6.
{"formula": "Pr2Ga3Pt", "functional": "PBE", "state": "relaxed", "lattice": [[-2.6863, 0.1047, 3.6648], [2.3215, -2.6453, 4.5956], [1.0875, 4.6596, 3.4824]], "species": ["Pr", "Ga", "Pt", "Pr", "Ga", "Ga"], "fractional_positions": [[0.4511, 0.7968, 0.3010], [0.1637, 0.7668, 0.9057], [0.1671, 0.3808, 0.2851], [0.5434, 0.2121, 0.7011], [0.8315, 0.2333, 0.1037], [0.8432, 0.6102, 0.7034]], "delta_e_f_ev_per_atom": -0.819, "dos_at_fermi_per_ev_atom": 0.687}

---

7.
{"formula": "AgPPd3", "functional": "PBE", "state": "relaxed", "lattice": [[0.3722, 5.8901, -0.2357], [-2.7009, 3.3152, 4.0745], [8.2964, 2.0469, 7.1380]], "species": ["Pd", "Pd", "Pd", "Ag", "Pd", "Ag", "Pd", "Pd", "Ag", "Pd", "Pd", "P", "Pd", "Pd", "P", "P", "Pd", "P", "Pd", "Ag"], "fractional_positions": [[0.9326, 0.2195, 0.4160], [0.9183, 0.7977, 0.3273], [0.2023, 0.0817, 0.1727], [0.5434, 0.2826, 0.6299], [0.7977, 0.9183, 0.8273], [0.4566, 0.7174, 0.3701], [0.7722, 0.5907, 0.1009], [0.2195, 0.9326, 0.9160], [0.7174, 0.4566, 0.8701], [0.0817, 0.2023, 0.6727], [0.5907, 0.7722, 0.6009], [0.0000, 0.5000, 0.5000], [0.4093, 0.2278, 0.3991], [0.7805, 0.0674, 0.0840], [0.5000, 0.0000, 0.0000], [0.7282, 0.2718, 0.2500], [0.0674, 0.7805, 0.5840], [0.2718, 0.7282, 0.7500], [0.2278, 0.4093, 0.8991], [0.2826, 0.5434, 0.1299]], "delta_e_f_ev_per_atom": -0.302, "e_above_lowest_polymorph_ev_per_atom": 0.000, "dos_at_fermi_per_ev_atom": 0.306}

---

8.
{"formula": "Ca2ReSi", "functional": "PBE", "state": "relaxed", "lattice": [[4.7946, -0.0410, 0.0000], [0.0463, 4.7946, 0.0000], [-2.4204, -2.3768, 3.3886]], "species": ["Re", "Ca", "Si", "Ca"], "fractional_positions": [[0.5000, 0.5000, 0.0000], [0.2500, 0.7500, 0.5000], [0.7500, 0.2500, 0.5000], [0.0000, 0.0000, 0.0000]], "raw_formation_energy_mev_per_atom": 456, "dos_at_fermi_per_ev_atom": 0.770}

---

9.
{"formula": "TbCe3P4", "functional": "PBE", "state": "relaxed", "lattice": [[-3.4246, -0.4656, 4.6068], [2.6540, -4.8926, 1.4785], [3.7941, 3.0022, 3.1239]], "species": ["Ce", "Ce", "Ce", "P", "Tb", "P", "P", "P"], "fractional_positions": [[0.5000, 0.5000, 0.0000], [0.0000, 0.5000, 0.5000], [0.5000, 0.0000, 0.5000], [0.5000, 0.0000, 0.0000], [0.0000, 0.0000, 0.0000], [0.5000, 0.5000, 0.5000], [0.0000, 0.0000, 0.5000], [0.0000, 0.5000, 0.0000]], "delta_e_f_ev_per_atom": -1.524, "e_above_lowest_polymorph_ev_per_atom": 0.002, "dos_at_fermi_per_ev_atom": 1.640}

---

10.
{"formula": "InRePd2Au", "functional": "PBE", "state": "relaxed", "lattice": [[-3.5961, 0.6725, 3.1824], [-3.4224, -0.8335, -3.6912], [0.0334, -4.7362, 1.0385]], "species": ["Au", "Pd", "Pd", "In", "Re"], "fractional_positions": [[0.0000, 0.5000, 0.0000], [0.5000, 0.0000, 0.0000], [0.0000, 0.0000, 0.5000], [0.5000, 0.5000, 0.5000], [0.0000, 0.0000, 0.0000]], "delta_e_f_ev_per_atom": 1.031, "dos_at_fermi_per_ev_atom": 1.048}

---

11.
{"formula": "PrNd4N5", "functional": "PBE", "state": "relaxed", "lattice": [[4.6941, 0.0000, 2.2641], [2.3471, 5.7720, 1.1320], [-0.1605, 0.0000, 6.3309]], "species": ["Nd", "N", "N", "Nd", "N", "N", "Pr", "Nd", "Nd", "N"], "fractional_positions": [[0.4113, 0.4001, 0.7995], [0.2920, 0.7989, 0.5980], [0.0909, 0.5980, 0.2011], [0.6109, 0.5999, 0.2005], [0.8901, 0.4020, 0.7989], [0.4933, 0.0000, 0.0000], [0.0105, 0.0000, 0.0000], [0.2108, 0.2005, 0.4001], [0.8114, 0.7995, 0.5999], [0.6890, 0.2011, 0.4020]], "raw_formation_energy_mev_per_atom": -1347, "dos_at_fermi_per_ev_atom": 0.093}

---

12.
{"formula": "SrTl2Te2", "functional": "PBE", "state": "relaxed", "lattice": [[4.6319, 0.0000, 1.0793], [2.1902, 4.0814, 1.0793], [0.0711, 0.0425, 10.1734]], "species": ["Te", "Tl", "Sr", "Te", "Tl"], "fractional_positions": [[0.3993, 0.3993, 0.8022], [0.7922, 0.7922, 0.6233], [0.0000, 0.0000, 0.0000], [0.6007, 0.6007, 0.1978], [0.2078, 0.2078, 0.3767]], "e_above_lowest_polymorph_ev_per_atom": 0.000, "raw_formation_energy_mev_per_atom": -866}